(i)
Tb2NdY2 | PBE | optimized geometry

Theoretical density, g cm⁻³: 6.44
Volume, Å³ per atom: 33.0
Size of the total moment, μB per cell: 0.00
SG: No. 12

Unit cell a=6.8823 b=6.8823 c=9.6263 alpha=107.98 beta=107.98 gamma=50.33
Closest atoms and distances in Å follow each position.
Positions (direct):
Tb: 0.1544 0.1544 0.0439  4 Y 3.40-3.69, 4 Tb 3.55-3.65, 2 Nd 3.58-3.76
Tb: 0.2625 0.2625 0.7360  5 Y 3.41-3.73, 3 Tb 3.55-3.65, 2 Nd 3.69-3.78
Tb: 0.7375 0.7375 0.2640  5 Y 3.41-3.73, 3 Tb 3.55-3.65, 2 Nd 3.69-3.78
Tb: 0.8456 0.8456 0.9561  4 Y 3.40-3.69, 4 Tb 3.55-3.65, 2 Nd 3.58-3.76
Nd: 0.0498 0.0498 0.3473  5 Y 3.56-3.61, 1 Nd 3.56, 4 Tb 3.58-3.78
Nd: 0.9502 0.9502 0.6527  5 Y 3.56-3.61, 1 Nd 3.56, 4 Tb 3.58-3.78
Y: 0.3550 0.3550 0.4275  2 Y 3.39-3.40, 4 Tb 3.41-3.69, 3 Nd 3.59-3.61
Y: 0.4460 0.4460 0.1333  2 Y 3.28-3.39, 4 Tb 3.40-3.44, 2 Nd 3.56
Y: 0.5540 0.5540 0.8667  2 Y 3.28-3.39, 4 Tb 3.40-3.44, 2 Nd 3.56
Y: 0.6450 0.6450 0.5725  2 Y 3.39-3.40, 4 Tb 3.41-3.69, 3 Nd 3.59-3.61

(ii)
Tb2NdY2 | PBE | optimized geometry

Theoretical density, g cm⁻³: 6.36
Volume, Å³ per atom: 33.4
Size of the total moment, μB per cell: 0.00
SG: No. 127

Unit cell a=9.4069 b=9.4069 c=3.7751 alpha=90.00 beta=90.00 gamma=90.00
Closest atoms and distances in Å follow each position.
Positions (direct):
Tb: 0.1259 0.3741 0.0000  6 Y 3.29-3.40, 1 Tb 3.35
Tb: 0.3741 0.8741 0.0000  6 Y 3.29-3.40, 1 Tb 3.35
Tb: 0.6259 0.1259 0.0000  6 Y 3.29-3.40, 1 Tb 3.35
Tb: 0.8741 0.6259 0.0000  6 Y 3.29-3.40, 1 Tb 3.35
Nd: 0.0000 0.0000 0.0000  4 Tb 3.71, 2 Nd 3.78, 8 Y 3.97
Nd: 0.5000 0.5000 0.0000  4 Tb 3.71, 2 Nd 3.78, 8 Y 3.97
Y: 0.1712 0.6712 0.5000  6 Tb 3.29-3.40
Y: 0.3288 0.1712 0.5000  6 Tb 3.29-3.40
Y: 0.6712 0.8288 0.5000  6 Tb 3.29-3.40
Y: 0.8288 0.3288 0.5000  6 Tb 3.29-3.40

Which structure is most stable? (ii), by 32 meV/atom over the runner-up.

(i)
TbNd4Y6 | PBE | optimized geometry

Theoretical density, g cm⁻³: 5.57
Volume, Å³ per atom: 34.4
Size of the total moment, μB per cell: 0.00
SG: No. 187

Unit cell a=11.0061 b=11.0061 c=3.6054 alpha=90.00 beta=90.00 gamma=120.00
Closest atoms and distances in Å follow each position.
Positions (direct):
Tb: 0.0000 0.0000 0.0000  6 Nd 3.54, 2 Tb 3.61, 6 Y 3.94
Nd: 0.3193 0.1596 0.5000  6 Y 3.29-3.57, 2 Tb 3.54, 2 Nd 3.61
Nd: 0.3333 0.6667 0.0000  9 Y 3.38-3.57, 2 Nd 3.61
Nd: 0.8404 0.1596 0.5000  6 Y 3.29-3.57, 2 Tb 3.54, 2 Nd 3.61
Nd: 0.8404 0.6807 0.5000  6 Y 3.29-3.57, 2 Tb 3.54, 2 Nd 3.61
Y: 0.1835 0.3670 0.5000  4 Nd 3.29-3.38, 2 Y 3.61
Y: 0.1835 0.8165 0.5000  4 Nd 3.29-3.38, 2 Y 3.61
Y: 0.5206 0.0412 0.0000  5 Nd 3.57, 6 Y 3.61-3.74
Y: 0.5206 0.4794 0.0000  5 Nd 3.57, 6 Y 3.61-3.74
Y: 0.6330 0.8165 0.5000  4 Nd 3.29-3.38, 2 Y 3.61
Y: 0.9588 0.4794 0.0000  5 Nd 3.57, 6 Y 3.61-3.74

(ii)
TbNd4Y6 | PBE | optimized geometry

Theoretical density, g cm⁻³: 5.72
Volume, Å³ per atom: 33.5
Size of the total moment, μB per cell: 0.00
SG: No. 63

Unit cell a=5.6720 b=5.6720 c=26.0681 alpha=90.00 beta=90.00 gamma=118.48
Closest atoms and distances in Å follow each position.
Positions (direct):
Tb: 0.1838 0.8162 0.7500  3 Y 3.26-3.32
Tb: 0.8162 0.1838 0.2500  3 Y 3.26-3.32
Nd: 0.1563 0.8437 0.0448  7 Y 3.48-3.73, 2 Nd 3.66-3.84
Nd: 0.1563 0.8437 0.4552  7 Y 3.48-3.73, 2 Nd 3.66-3.84
Nd: 0.4698 0.5302 0.1222  6 Y 3.20-3.54
Nd: 0.4698 0.5302 0.3778  6 Y 3.20-3.54
Nd: 0.5302 0.4698 0.6222  6 Y 3.20-3.54
Nd: 0.5302 0.4698 0.8778  6 Y 3.20-3.54
Nd: 0.8437 0.1563 0.5448  7 Y 3.48-3.73, 2 Nd 3.66-3.84
Nd: 0.8437 0.1563 0.9552  7 Y 3.48-3.73, 2 Nd 3.66-3.84
Y: 0.1446 0.8554 0.1828  7 Y 3.50-3.88, 4 Nd 3.54-3.72, 3 Tb 3.65-3.78
Y: 0.1446 0.8554 0.3172  7 Y 3.50-3.88, 4 Nd 3.54-3.72, 3 Tb 3.65-3.78
Y: 0.1898 0.8102 0.6057  5 Nd 3.32-3.63
Y: 0.1898 0.8102 0.8943  5 Nd 3.32-3.63
Y: 0.4822 0.5178 0.2500  3 Tb 3.26-3.32, 2 Nd 3.33
Y: 0.5000 0.5000 0.0000  8 Nd 3.20-3.55
Y: 0.5000 0.5000 0.5000  8 Nd 3.20-3.55
Y: 0.5178 0.4822 0.7500  3 Tb 3.26-3.32, 2 Nd 3.33
Y: 0.8102 0.1898 0.1057  5 Nd 3.32-3.63
Y: 0.8102 0.1898 0.3943  5 Nd 3.32-3.63
Y: 0.8554 0.1446 0.6828  7 Y 3.50-3.88, 4 Nd 3.54-3.72, 3 Tb 3.65-3.78
Y: 0.8554 0.1446 0.8172  7 Y 3.50-3.88, 4 Nd 3.54-3.72, 3 Tb 3.65-3.78

Which structure is most stable? (ii), by 50 meV/atom over the runner-up.

(i)
TbNdY5 | PBE | optimized geometry

Theoretical density, g cm⁻³: 5.34
Volume, Å³ per atom: 33.2
Size of the total moment, μB per cell: 0.00
SG: No. 15

Unit cell a=11.8605 b=11.8605 c=6.6259 alpha=93.70 beta=93.70 gamma=149.07
Closest atoms and distances in Å follow each position.
Positions (direct):
Tb: 0.1662 0.8338 0.7500  8 Y 3.30-3.46
Tb: 0.8338 0.1662 0.2500  8 Y 3.30-3.46
Nd: 0.4193 0.5807 0.7500  8 Y 3.33-3.53
Nd: 0.5807 0.4193 0.2500  8 Y 3.33-3.53
Y: 0.1456 0.8544 0.2500  2 Tb 3.35, 4 Y 3.35-3.50, 2 Nd 3.49
Y: 0.1819 0.2706 0.1389  1 Tb 3.30, 2 Nd 3.33-3.53, 4 Y 3.42-3.63
Y: 0.2680 0.6798 0.0007  4 Y 3.24-3.47, 1 Nd 3.33, 2 Tb 3.39-3.46
Y: 0.2706 0.1819 0.6389  1 Tb 3.30, 2 Nd 3.33-3.53, 4 Y 3.42-3.63
Y: 0.3202 0.7320 0.4993  4 Y 3.24-3.47, 1 Nd 3.33, 2 Tb 3.39-3.46
Y: 0.6798 0.2680 0.5007  4 Y 3.24-3.47, 1 Nd 3.33, 2 Tb 3.39-3.46
Y: 0.7294 0.8181 0.3611  1 Tb 3.30, 2 Nd 3.33-3.53, 4 Y 3.42-3.63
Y: 0.7320 0.3202 0.9993  4 Y 3.24-3.47, 1 Nd 3.33, 2 Tb 3.39-3.46
Y: 0.8181 0.7294 0.8611  1 Tb 3.30, 2 Nd 3.33-3.53, 4 Y 3.42-3.63
Y: 0.8544 0.1456 0.7500  2 Tb 3.35, 4 Y 3.35-3.50, 2 Nd 3.49

(ii)
TbNdY5 | PBE | optimized geometry

Theoretical density, g cm⁻³: 5.31
Volume, Å³ per atom: 33.4
Size of the total moment, μB per cell: 0.00
SG: No. 15

Unit cell a=8.9269 b=8.9269 c=10.6089 alpha=123.66 beta=123.66 gamma=43.56
Closest atoms and distances in Å follow each position.
Positions (direct):
Tb: 0.0000 0.5000 0.0000  6 Y 3.38-3.78, 2 Nd 3.67
Tb: 0.5000 0.0000 0.5000  6 Y 3.38-3.78, 2 Nd 3.67
Nd: 0.0171 0.9829 0.2500  7 Y 3.08-3.43
Nd: 0.9829 0.0171 0.7500  7 Y 3.08-3.43
Y: 0.0836 0.5766 0.4168  5 Y 3.34-3.61, 1 Nd 3.43
Y: 0.1546 0.6640 0.9006  2 Nd 3.27-3.41, 6 Y 3.31-3.61, 1 Tb 3.38
Y: 0.3360 0.8454 0.5994  2 Nd 3.27-3.41, 6 Y 3.31-3.61, 1 Tb 3.38
Y: 0.4234 0.9164 0.0832  5 Y 3.34-3.61, 1 Nd 3.43
Y: 0.4828 0.5172 0.2500  1 Nd 3.08, 6 Y 3.31-3.44
Y: 0.5172 0.4828 0.7500  1 Nd 3.08, 6 Y 3.31-3.44
Y: 0.5766 0.0836 0.9168  5 Y 3.34-3.61, 1 Nd 3.43
Y: 0.6640 0.1546 0.4006  2 Nd 3.27-3.41, 6 Y 3.31-3.61, 1 Tb 3.38
Y: 0.8454 0.3360 0.0994  2 Nd 3.27-3.41, 6 Y 3.31-3.61, 1 Tb 3.38
Y: 0.9164 0.4234 0.5832  5 Y 3.34-3.61, 1 Nd 3.43

Which structure is most stable? (ii), by 19 meV/atom over the runner-up.

(i)
Tb2Nd2Y5 | PBE | optimized geometry

Theoretical density, g cm⁻³: 5.76
Volume, Å³ per atom: 33.7
Size of the total moment, μB per cell: 0.00
SG: No. 46

Unit cell a=10.1566 b=10.1566 c=10.1566 alpha=84.62 beta=108.55 gamma=140.86
Closest atoms and distances in Å follow each position.
Positions (direct):
Tb: 0.0037 0.1270 0.1306  4 Y 3.35-3.65, 2 Nd 3.57-3.62, 1 Tb 3.70
Tb: 0.0037 0.3730 0.3767  4 Y 3.35-3.65, 2 Nd 3.57-3.62, 1 Tb 3.70
Tb: 0.9963 0.6270 0.6233  4 Y 3.35-3.65, 2 Nd 3.57-3.62, 1 Tb 3.70
Tb: 0.9963 0.8730 0.8694  4 Y 3.35-3.65, 2 Nd 3.57-3.62, 1 Tb 3.70
Nd: 0.4389 0.6983 0.2406  4 Y 3.41-3.64, 2 Tb 3.57, 2 Nd 3.82
Nd: 0.4577 0.1983 0.7594  4 Y 3.41-3.64, 2 Tb 3.57, 2 Nd 3.82
Nd: 0.5479 0.0479 0.5000  4 Y 3.28-3.60, 2 Tb 3.62
Nd: 0.5479 0.5479 0.0000  4 Y 3.28-3.60, 2 Tb 3.62
Y: 0.1094 0.3006 0.7038  4 Y 3.21-3.41, 1 Nd 3.28, 1 Tb 3.35
Y: 0.1094 0.9056 0.3088  4 Y 3.21-3.41, 1 Nd 3.28, 1 Tb 3.35
Y: 0.4051 0.4072 0.4979  6 Y 3.25-3.62, 2 Nd 3.41-3.64, 2 Tb 3.60
Y: 0.4278 0.0202 0.1224  4 Y 3.21-3.42, 1 Tb 3.38, 1 Nd 3.45
Y: 0.4278 0.8055 0.9077  4 Y 3.21-3.42, 1 Tb 3.38, 1 Nd 3.45
Y: 0.5968 0.4056 0.2962  4 Y 3.21-3.41, 1 Nd 3.28, 1 Tb 3.35
Y: 0.5968 0.8006 0.6912  4 Y 3.21-3.41, 1 Nd 3.28, 1 Tb 3.35
Y: 0.8978 0.3055 0.8776  4 Y 3.21-3.42, 1 Tb 3.38, 1 Nd 3.45
Y: 0.8978 0.5202 0.0923  4 Y 3.21-3.42, 1 Tb 3.38, 1 Nd 3.45
Y: 0.9093 0.9072 0.5021  6 Y 3.25-3.62, 2 Nd 3.41-3.64, 2 Tb 3.60

(ii)
Tb2Nd2Y5 | PBE | optimized geometry

Theoretical density, g cm⁻³: 5.57
Volume, Å³ per atom: 34.8
Size of the total moment, μB per cell: 0.00
SG: No. 12

Unit cell a=11.0323 b=11.0323 c=8.3174 alpha=100.16 beta=100.16 gamma=18.32
Closest atoms and distances in Å follow each position.
Positions (direct):
Tb: 0.0464 0.0464 0.3567  5 Y 3.20-3.55, 3 Tb 3.39-3.51
Tb: 0.9536 0.9536 0.6433  5 Y 3.20-3.55, 3 Tb 3.39-3.51
Nd: 0.3181 0.3181 0.8550  2 Nd 3.51, 5 Y 3.53-3.93
Nd: 0.6819 0.6819 0.1450  2 Nd 3.51, 5 Y 3.53-3.93
Y: 0.1902 0.1902 0.5284  1 Tb 3.20, 6 Y 3.25-3.51, 1 Nd 3.53
Y: 0.4030 0.4030 0.2639  5 Y 3.31-3.51, 4 Tb 3.55-3.61, 1 Nd 3.57
Y: 0.5000 0.5000 0.0000  4 Y 3.31-3.51, 4 Tb 3.44
Y: 0.5970 0.5970 0.7361  5 Y 3.31-3.51, 4 Tb 3.55-3.61, 1 Nd 3.57
Y: 0.8098 0.8098 0.4716  1 Tb 3.20, 6 Y 3.25-3.51, 1 Nd 3.53

Which structure is most stable? (i), by 21 meV/atom over the runner-up.